Entry 1:
Compound: TlIn2Ni
Source: the Alexandria database
Functional: GGA-PBEsol
Structure: optimized geometry

Cell lengths 3.360, 3.360, 8.901 Å; angles 79.12, 79.12, 60.00 degrees
Sites, in units of the cell vectors:
Ni1 0.498 0.498 0.506
Tl1 0.234 0.234 0.297
In1 0.766 0.766 0.702
In2 0.001 0.001 0.996

Output
Relative energy among the computed polymorphs in kcal/mol of atoms: 2.040

=====

Entry 2:
Compound: TmInNi4
Source: the Alexandria database
Functional: GGA-PBEsol
Structure: optimized geometry

Cell lengths 4.877, 4.877, 4.877 Å; angles 60.00, 60.00, 60.00 degrees
Sites, in units of the cell vectors:
In1 0.000 0.000 0.000
Ni1 0.626 0.626 0.123
Ni2 0.626 0.123 0.626
Ni3 0.123 0.626 0.626
Ni4 0.626 0.626 0.626
Tm1 0.250 0.250 0.250

=====

Number 1: Fermi-level density of states 1.77 states/eV/cell, DFT formation energy 12.09 kJ per mole of atoms. Number 2: Fermi-level density of states 4.63 states/eV/cell, DFT formation energy -42.50 kJ per mole of atoms.